[1]
Density functional theory data (PBE) for Ac2SmMgTe5 after structural relaxation.

Computed properties:
Symmetry: Cmc2_1 (36)
ΔE_f (raw) in eV/atom: -1.373

Unit cell a=10.0502 b=10.0502 c=13.7852 alpha=90.00 beta=90.00 gamma=153.90
With the nearest neighbours (Å) after each atom.
Fractional positions:
Ac1 0.1144 0.8856 0.5000  8 Te 3.39-3.55
Ac2 0.1324 0.8676 0.1238  7 Te 3.36-3.58
Ac3 0.8676 0.1324 0.6238  7 Te 3.36-3.58
Ac4 0.8856 0.1144 0.0000  8 Te 3.39-3.55
Sm1 0.2011 0.7989 0.8272  6 Te 3.12-3.19
Sm2 0.7989 0.2011 0.3272  6 Te 3.12-3.19
Mg1 0.4454 0.5546 0.2665  4 Te 2.72-2.95
Mg2 0.5546 0.4454 0.7665  4 Te 2.72-2.95
Te1 0.0459 0.9541 0.8792  2 Mg 2.75
Te2 0.2874 0.7126 0.4847  2 Sm 3.15, 3 Ac 3.36-3.39
Te3 0.3126 0.6874 0.1661  1 Mg 2.95, 2 Sm 3.19
Te4 0.3611 0.6389 0.8154  1 Sm 3.14, 4 Ac 3.44-3.48
Te5 0.4955 0.5045 0.5876  1 Mg 2.72
Te6 0.5045 0.4955 0.0876  1 Mg 2.72
Te7 0.6389 0.3611 0.3154  1 Sm 3.14, 4 Ac 3.44-3.48
Te8 0.6874 0.3126 0.6661  1 Mg 2.95, 2 Sm 3.19
Te9 0.7126 0.2874 0.9847  2 Sm 3.15, 3 Ac 3.36-3.39
Te10 0.9541 0.0459 0.3792  2 Mg 2.75

---

[2]
Density functional theory data (PBE) for CeNdGeAu after structural relaxation.

Computed properties:
Symmetry: F-43m (216)
Energy of formation from the pure elements in eV per formula unit: -2.59
Distance to the lowest polymorph of the same formula in eV per atom: 0.080

Unit cell a=5.2354 b=5.2354 c=5.2354 alpha=60.00 beta=60.00 gamma=60.00
With the nearest neighbours (Å) after each atom.
Fractional positions:
Ce1 0.0000 0.0000 0.0000  4 Ge 3.21, 4 Au 3.21
Nd1 0.5000 0.5000 0.5000  4 Ge 3.21, 4 Au 3.21
Ge1 0.2500 0.2500 0.2500  4 Ce 3.21, 4 Nd 3.21
Au1 0.7500 0.7500 0.7500  4 Ce 3.21, 4 Nd 3.21

---

[3]
Density functional theory data (PBE) for Ce2ErTmSb5 after structural relaxation.

Computed properties:
Symmetry: P4/mmm (123)
ΔE_f (raw) in eV/atom: -0.300

Unit cell a=5.2641 b=5.2641 c=11.4925 alpha=90.00 beta=90.00 gamma=90.00
With the nearest neighbours (Å) after each atom.
Fractional positions:
Ce1 0.0000 0.0000 0.2119  5 Sb 3.31-3.59
Ce2 0.0000 0.0000 0.7881  5 Sb 3.31-3.59
Er1 0.5000 0.5000 0.5000  2 Sb 2.84
Tm1 0.5000 0.5000 0.0000  6 Sb 2.63-2.90
Sb1 0.0000 0.0000 0.5000  2 Ce 3.31
Sb2 0.0000 0.5000 0.0000  2 Tm 2.63
Sb3 0.5000 0.0000 0.0000  2 Tm 2.63
Sb4 0.5000 0.5000 0.2526  1 Er 2.84, 1 Tm 2.90
Sb5 0.5000 0.5000 0.7474  1 Er 2.84, 1 Tm 2.90

---

[4]
Density functional theory data (PBE) for Ba2HgSb after structural relaxation.

Computed properties:
Symmetry: Imm2 (44)
Distance to the lowest polymorph of the same formula in eV per atom: 0.119
ΔE_f (raw) in eV/atom: -0.684

Unit cell a=7.0898 b=7.0898 c=7.0898 alpha=141.98 beta=136.64 gamma=59.01
With the nearest neighbours (Å) after each atom.
Fractional positions:
Ba1 0.0000 0.0000 0.0000  4 Sb 3.55, 2 Ba 3.81, 2 Hg 3.91
Ba2 0.7242 0.2242 0.5000  4 Hg 3.53, 2 Sb 3.79, 2 Ba 3.81
Hg1 0.2645 0.7645 0.5000  2 Sb 3.22, 4 Ba 3.53
Sb1 0.4464 0.4464 0.0000  2 Hg 3.22, 4 Ba 3.55

---

Number 1: final energy -4.733 eV/atom, size of the total moment 0.00 Bohr magnetons per cell, D(E_F) 0.253 states/eV per atom. Number 2: final energy -5.297 eV/atom, size of the total moment 1.93 Bohr magnetons per cell, D(E_F) 2.261 states/eV per atom. Number 3: final energy -4.913 eV/atom, size of the total moment 1.64 Bohr magnetons per cell, D(E_F) 1.855 states/eV per atom. Number 4: final energy -2.752 eV/atom, size of the total moment 0.51 Bohr magnetons per cell, D(E_F) 0.611 states/eV per atom.